1.
{"formula": "CoRhPb2", "functional": "PBE", "state": "optimized geometry", "space_group": "Imm2", "e_above_lowest_polymorph_kj_per_mol_atoms": 10.0, "lattice": [[6.443, 0.060, -0.007], [4.220, 4.869, 0.007], [-5.015, -3.150, 2.539]], "species": ["Co", "Pb", "Pb", "Rh"], "frac_coords": [[0.247, 0.747, 0.500], [0.041, 0.041, 0.000], [0.775, 0.275, 0.500], [0.437, 0.437, 0.000]]}

2.
{"formula": "CoRhPb2", "functional": "PBE", "state": "optimized geometry", "space_group": "Amm2", "e_above_lowest_polymorph_kj_per_mol_atoms": 0.0, "lattice": [[-1.191, 2.100, 4.877], [-1.862, -1.590, 4.860], [3.865, -0.710, 1.249]], "species": ["Co", "Pb", "Pb", "Rh"], "frac_coords": [[0.302, 0.302, 0.125], [0.025, 0.025, 0.125], [0.730, 0.730, 0.625], [0.444, 0.444, 0.625]]}

3.
{"formula": "CoRh2Pb", "functional": "PBE", "state": "optimized geometry", "space_group": "F-43m", "energy_ev_per_fu": -24.430, "lattice": [[-3.550, -2.667, 0.528], [0.489, -4.027, 1.882], [-1.630, -0.769, 4.092]], "species": ["Co", "Pb", "Rh", "Rh"], "frac_coords": [[0.500, 0.500, 0.500], [0.250, 0.250, 0.250], [0.000, 0.000, 0.000], [0.750, 0.750, 0.750]]}

4.
{"formula": "Co2RhPb", "functional": "PBE", "state": "optimized geometry", "space_group": "C2/m", "energy_ev_per_fu": -23.751, "lattice": [[-4.301, -1.703, -0.705], [-3.813, -1.489, 2.267], [-2.642, 3.973, 0.147]], "species": ["Co", "Co", "Pb", "Rh"], "frac_coords": [[0.991, 0.991, 0.055], [0.509, 0.509, 0.445], [0.750, 0.750, 0.750], [0.250, 0.250, 0.250]]}

5.
{"formula": "Co2RhPb", "functional": "PBE", "state": "optimized geometry", "space_group": "Imm2", "energy_ev_per_fu": -24.128, "lattice": [[-2.617, 3.901, 0.132], [-2.862, -0.144, -3.725], [0.818, -3.215, 3.329]], "species": ["Co", "Co", "Pb", "Rh"], "frac_coords": [[0.999, 0.999, 0.000], [0.750, 0.250, 0.500], [0.500, 0.500, 0.000], [0.250, 0.750, 0.500]]}

6.
{"formula": "Co2RhPb", "functional": "PBE", "state": "optimized geometry", "space_group": "R3m", "energy_ev_per_fu": -23.226, "lattice": [[-3.608, 0.752, 7.203], [-3.190, -2.303, 7.070], [-0.897, -0.472, 8.028]], "species": ["Co", "Co", "Pb", "Rh"], "frac_coords": [[0.994, 0.994, 0.994], [0.265, 0.265, 0.265], [0.501, 0.501, 0.501], [0.739, 0.739, 0.739]]}

7.
{"formula": "Co2RhPb", "functional": "PBE", "state": "optimized geometry", "space_group": "F-43m", "energy_ev_per_fu": -23.895, "lattice": [[4.401, 0.000, 0.000], [2.200, 3.811, 0.000], [2.200, 1.270, 3.593]], "species": ["Co", "Co", "Pb", "Rh"], "frac_coords": [[0.000, 0.000, 0.000], [0.750, 0.750, 0.750], [0.500, 0.500, 0.500], [0.250, 0.250, 0.250]]}

8.
{"formula": "CoRh2Pb", "functional": "PBE", "state": "optimized geometry", "space_group": "R-3m", "energy_ev_per_fu": -23.924, "lattice": [[-7.267, -4.469, 0.857], [-5.258, -6.734, 0.728], [-5.805, -5.341, 3.363]], "species": ["Co", "Pb", "Rh", "Rh"], "frac_coords": [[0.250, 0.250, 0.250], [0.750, 0.750, 0.750], [0.991, 0.991, 0.991], [0.509, 0.509, 0.509]]}

9.
{"formula": "CoRhPb2", "functional": "PBE", "state": "optimized geometry", "space_group": "Pmmm", "e_above_lowest_polymorph_kj_per_mol_atoms": 12.5, "lattice": [[4.739, 0.000, 0.000], [0.000, 4.762, 0.000], [0.000, 0.000, 3.349]], "species": ["Co", "Pb", "Pb", "Rh"], "frac_coords": [[0.000, 0.500, 0.500], [0.000, 0.000, 0.000], [0.500, 0.500, 0.000], [0.500, 0.000, 0.500]]}

10.
{"formula": "Co2RhPb", "functional": "PBE", "state": "optimized geometry", "space_group": "Cm", "energy_ev_per_fu": -23.903, "lattice": [[4.575, -0.012, 0.014], [3.541, 2.897, 0.014], [1.112, 0.395, 4.622]], "species": ["Co", "Co", "Pb", "Rh"], "frac_coords": [[0.008, 0.008, 0.976], [0.733, 0.733, 0.805], [0.497, 0.497, 0.504], [0.262, 0.262, 0.215]]}

11.
{"formula": "Co2RhPb", "functional": "PBE", "state": "optimized geometry", "space_group": "Pm", "energy_ev_per_fu": -23.768, "lattice": [[-1.144, -3.087, 2.402], [1.453, -1.906, -1.757], [4.905, -0.337, 1.903]], "species": ["Co", "Co", "Pb", "Rh"], "frac_coords": [[0.000, 0.188, 0.997], [0.500, 0.073, 0.230], [0.000, 0.451, 0.475], [0.500, 0.788, 0.798]]}

12.
{"formula": "CoRhPb2", "functional": "PBE", "state": "optimized geometry", "space_group": "Pmm2", "e_above_lowest_polymorph_kj_per_mol_atoms": 13.2, "lattice": [[-2.212, -1.603, -2.136], [2.997, -2.217, -1.439], [-0.988, -3.899, 3.948]], "species": ["Co", "Pb", "Pb", "Rh"], "frac_coords": [[0.500, 0.500, 0.792], [0.000, 0.000, 0.939], [0.500, 0.500, 0.306], [0.000, 0.000, 0.463]]}

13.
{"formula": "Co3RhPb", "functional": "PBE", "state": "optimized geometry", "space_group": "Pm-3m", "e_above_lowest_polymorph_kj_per_mol_atoms": 82.1, "lattice": [[-4.050, -1.632, -1.750], [1.128, -4.336, 1.433], [-2.111, 0.814, 4.124]], "species": ["Pb", "Co", "Co", "Co", "Rh"], "frac_coords": [[0.000, 0.000, 0.000], [0.000, 0.500, 0.000], [0.000, 0.000, 0.500], [0.500, 0.000, 0.000], [0.500, 0.500, 0.500]]}

14.
{"formula": "CoRh2Pb", "functional": "PBE", "state": "optimized geometry", "space_group": "C2/m", "energy_ev_per_fu": -24.615, "lattice": [[4.670, -0.028, 0.059], [3.662, 2.897, 0.059], [1.000, 0.344, 4.690]], "species": ["Co", "Pb", "Rh", "Rh"], "frac_coords": [[0.250, 0.250, 0.250], [0.750, 0.750, 0.750], [0.991, 0.991, 0.031], [0.509, 0.509, 0.469]]}

15.
{"formula": "CoRhPb2", "functional": "PBE", "state": "optimized geometry", "space_group": "Fm-3m", "e_above_lowest_polymorph_kj_per_mol_atoms": 12.6, "lattice": [[-4.333, -1.938, 0.116], [-1.944, -1.220, 4.156], [-3.664, 2.478, 1.725]], "species": ["Pb", "Pb", "Co", "Rh"], "frac_coords": [[0.250, 0.250, 0.250], [0.750, 0.750, 0.750], [0.000, 0.000, 0.000], [0.500, 0.500, 0.500]]}

16.
{"formula": "CoRh2Pb", "functional": "PBE", "state": "optimized geometry", "space_group": "P4/mmm", "energy_ev_per_fu": -24.701, "lattice": [[4.116, 0.000, 0.000], [0.000, 4.114, 0.000], [0.000, 0.000, 3.733]], "species": ["Co", "Pb", "Rh", "Rh"], "frac_coords": [[0.500, 0.000, 0.500], [0.000, 0.500, 0.500], [0.000, 0.000, 0.000], [0.500, 0.500, 0.000]]}

17.
{"formula": "Co2RhPb", "functional": "PBE", "state": "optimized geometry", "space_group": "R-3m", "energy_ev_per_fu": -22.803, "lattice": [[8.604, 0.002, 0.001], [8.091, 2.928, 0.001], [8.091, 1.420, 2.560]], "species": ["Co", "Co", "Pb", "Rh"], "frac_coords": [[0.008, 0.008, 0.008], [0.492, 0.492, 0.492], [0.250, 0.250, 0.250], [0.750, 0.750, 0.750]]}

18.
{"formula": "Co2RhPb", "functional": "PBE", "state": "optimized geometry", "space_group": "P4/mmm", "energy_ev_per_fu": -23.936, "lattice": [[-1.624, -3.478, -0.760], [2.019, -0.213, -3.342], [2.914, -1.770, 1.873]], "species": ["Co", "Co", "Pb", "Rh"], "frac_coords": [[0.000, 0.000, 0.000], [0.500, 0.500, 0.000], [0.500, 0.000, 0.500], [0.000, 0.500, 0.500]]}

19.
{"formula": "Co2RhPb", "functional": "PBE", "state": "optimized geometry", "space_group": "P2/m", "energy_ev_per_fu": -23.688, "lattice": [[-2.999, 1.786, 1.220], [-1.362, -2.556, 0.395], [0.658, -2.817, 5.740]], "species": ["Co", "Co", "Pb", "Rh"], "frac_coords": [[0.000, 0.040, 0.959], [0.000, 0.460, 0.541], [0.500, 0.250, 0.250], [0.500, 0.750, 0.750]]}

20.
{"formula": "Co3RhPb", "functional": "PBE", "state": "optimized geometry", "space_group": "Pm-3m", "e_above_lowest_polymorph_kj_per_mol_atoms": 0.0, "lattice": [[4.600, 0.000, 0.000], [0.000, 4.600, 0.000], [0.000, 0.000, 4.600]], "species": ["Pb", "Co", "Co", "Co", "Rh"], "frac_coords": [[0.500, 0.500, 0.500], [0.000, 0.500, 0.000], [0.000, 0.000, 0.500], [0.500, 0.000, 0.000], [0.000, 0.000, 0.000]]}

| no. | D(E_F) (states/eV per cell) |
| --- | --- |
| 1 | 5.2 |
| 2 | 5.0 |
| 3 | 4.8 |
| 4 | 6.3 |
| 5 | 6.8 |
| 6 | 3.6 |
| 7 | 6.3 |
| 8 | 5.4 |
| 9 | 2.7 |
| 10 | 5.2 |
| 11 | 5.1 |
| 12 | 5.0 |
| 13 | 11.8 |
| 14 | 5.8 |
| 15 | 3.6 |
| 16 | 8.5 |
| 17 | 4.7 |
| 18 | 7.8 |
| 19 | 6.4 |
| 20 | 5.7 |